A crystal of AlNiRh relaxed with PBEsol. Source: Alexandria, functional SCAN.

Lattice parameters (Å, degrees): 4.021 4.021 2.681 90.00 90.00 120.00
Positions (direct):
1 Al 0.000 0.000 0.000
2 Ni 0.667 0.333 0.055
3 Rh 0.333 0.667 0.536

Computed properties:
ΔH_f (0 K) = -0.52 eV/atom
D(E_F) = 2.784 states/eV/cell
SG = P3m1 (156)